! GdScBe GGA-PBE relaxed; values from VASP
! * calculated volume: 22.817 A^3/atom
! * M_tot: 0.00 μB/f.u.
! * calculated total energy: -4.06 eV/atom
&SYSTEM
  ibrav = 0, nat = 3, ntyp = 3
/
ATOMIC_SPECIES
Be 9.01 Be.upf
Sc 44.96 Sc.upf
Gd 157.25 Gd.upf
ATOMIC_POSITIONS crystal
Be 0.250 0.250 0.250
Sc 0.000 0.000 0.000
Gd 0.750 0.750 0.750
CELL_PARAMETERS angstrom
2.938 -2.738 -2.226
-0.054 -4.528 0.762
-1.536 -2.857 -3.250

! GdBeSi GGA-PBE relaxed; values from VASP
! * calculated volume: 20.023 A^3/atom
! * M_tot: 0.00 μB/f.u.
! * calculated total energy: -4.65 eV/atom
&SYSTEM
  ibrav = 0, nat = 3, ntyp = 3
/
ATOMIC_SPECIES
Be 9.01 Be.upf
Si 28.09 Si.upf
Gd 157.25 Gd.upf
ATOMIC_POSITIONS crystal
Be 0.250 0.250 0.250
Si 0.000 0.000 0.000
Gd 0.750 0.750 0.750
CELL_PARAMETERS angstrom
0.000 3.108 3.108
3.108 0.000 3.108
3.108 3.108 0.000

! SmGdBe2Si2 GGA-PBE relaxed; values from VASP
! * calculated volume: 18.168 A^3/atom
! * M_tot: 0.01 μB/f.u.
! * calculated total energy: -5.25 eV/atom
&SYSTEM
  ibrav = 0, nat = 6, ntyp = 4
/
ATOMIC_SPECIES
Si 28.09 Si.upf
Gd 157.25 Gd.upf
Be 9.01 Be.upf
Sm 150.36 Sm.upf
ATOMIC_POSITIONS crystal
Si 0.333 0.667 0.253
Si 0.667 0.333 0.747
Gd 0.000 0.000 0.500
Be 0.667 0.333 0.253
Be 0.333 0.667 0.747
Sm 0.000 0.000 0.000
CELL_PARAMETERS angstrom
3.909 0.000 0.000
-1.955 3.386 0.000
0.000 0.000 8.236

! Gd2Be2SiSn GGA-PBE relaxed; values from VASP
! * calculated volume: 19.683 A^3/atom
! * M_tot: 0.03 μB/f.u.
! * calculated total energy: -4.89 eV/atom
&SYSTEM
  ibrav = 0, nat = 6, ntyp = 4
/
ATOMIC_SPECIES
Gd 157.25 Gd.upf
Sn 118.71 Sn.upf
Be 9.01 Be.upf
Si 28.09 Si.upf
ATOMIC_POSITIONS crystal
Gd 0.333 0.667 0.262
Gd 0.333 0.667 0.738
Sn 0.667 0.333 0.000
Be 0.000 0.000 0.000
Be 0.667 0.333 0.500
Si 0.000 0.000 0.500
CELL_PARAMETERS angstrom
4.053 0.000 0.000
-2.026 3.510 0.000
0.000 0.000 8.303

! TbGdBe2Si2 GGA-PBE relaxed; values from VASP
! * calculated volume: 17.738 A^3/atom
! * M_tot: 0.03 μB/f.u.
! * calculated total energy: -5.25 eV/atom
&SYSTEM
  ibrav = 0, nat = 6, ntyp = 4
/
ATOMIC_SPECIES
Be 9.01 Be.upf
Gd 157.25 Gd.upf
Si 28.09 Si.upf
Tb 158.93 Tb.upf
ATOMIC_POSITIONS crystal
Be 0.333 0.667 0.751
Be 0.667 0.333 0.249
Gd 0.000 0.000 0.500
Si 0.667 0.333 0.751
Si 0.333 0.667 0.249
Tb 0.000 0.000 0.000
CELL_PARAMETERS angstrom
3.888 0.000 0.000
-1.944 3.367 0.000
0.000 0.000 8.129

! GdTmBe2Si2 GGA-PBE relaxed; values from VASP
! * calculated volume: 17.343 A^3/atom
! * M_tot: 0.02 μB/f.u.
! * calculated total energy: -5.22 eV/atom
&SYSTEM
  ibrav = 0, nat = 6, ntyp = 4
/
ATOMIC_SPECIES
Si 28.09 Si.upf
Gd 157.25 Gd.upf
Be 9.01 Be.upf
Tm 168.93 Tm.upf
ATOMIC_POSITIONS crystal
Si 0.667 0.333 0.744
Si 0.333 0.667 0.256
Gd 0.000 0.000 0.000
Be 0.667 0.333 0.255
Be 0.333 0.667 0.745
Tm 0.000 0.000 0.500
CELL_PARAMETERS angstrom
-3.549 1.008 -1.166
0.450 -2.818 2.613
-0.403 5.415 5.910